(1)
# La4Pr2SmDy

A geometry-optimized La4Pr2SmDy structure (PBE, the Alexandria database).

The density of states at the Fermi level comes out at 12.824 states/eV/f.u. The energy is -4.8100 eV per atom.

It has space group P2/m (No. 10), with a = 5.237 Å, b = 5.272 Å, c = 10.331 Å, α = 90.00°, β = 90.08° and γ = 90.00°. The asymmetric unit holds La at (0.000, 0.000, 0.248), La at (0.499, 0.500, 0.751), Pr at (0.000, 0.500, 0.000), Pr at (0.500, 0.000, 0.500), Sm at (0.000, 0.500, 0.500) and Dy at (0.500, 0.000, 0.000).

(2)
# GdPuTcOs

A geometry-optimized GdPuTcOs structure (PBE, the Alexandria database).

The density of states at the Fermi level comes out at 5.320 states/eV/f.u. The energy is -12.4564 eV per atom.

It has space group F-43m (No. 216), with a = 6.802 Å, b = 6.802 Å, c = 6.802 Å, α = 90.00°, β = 90.00° and γ = 90.00°. The asymmetric unit holds Gd at (0.000, 0.000, 0.000), Pu at (0.000, 0.000, 0.500), Tc at (0.250, 0.250, 0.750) and Os at (0.250, 0.250, 0.250).

Number 1: ΔH_f (0 K) 0.01 eV/atom. Number 2: ΔH_f (0 K) 0.05 eV/atom.